No. 1
Material: NaAlNiSb2
Method: DFT, GGA-PBE
State: relaxed

Cell: 5.1593 5.1593 4.5503 Å, 90.00 90.00 90.00°
With the nearest neighbours (Å) after each atom.
Space group P4/mmm (No. 123)
Asymmetric unit:
Na: 0.0000 0.0000 0.0000  8 Sb 3.44, 4 Al 3.65
Al: 0.5000 0.5000 0.0000  2 Ni 2.28
Ni: 0.5000 0.5000 0.5000  2 Al 2.28
Sb: 0.0000 0.5000 0.5000  2 Ni 2.58

## Properties
The crystal system is tetragonal. The value obtained for the volume is 24.2 Å³ per atom. Its formation energy from raw total energies is 0.03 eV/atom. As for the size of the total moment: 0.0 μB/f.u. Its total DFT energy (no corrections) is -18.94 eV for the cell shown.


No. 2
Material: Na2AlNiSb
Method: DFT, GGA-PBE
State: relaxed

Cell: 5.3064 5.3064 4.6908 Å, 90.00 90.00 90.00°
With the nearest neighbours (Å) after each atom.
Space group P4/mmm (No. 123)
Asymmetric unit:
Na: 0.0000 0.5000 0.0000  2 Ni 2.65
Al: 0.0000 0.0000 0.5000  8 Na 3.54, 4 Sb 3.75
Ni: 0.5000 0.5000 0.0000  2 Sb 2.35
Sb: 0.5000 0.5000 0.5000  2 Ni 2.35

## Properties
The crystal system is tetragonal. The value obtained for the volume is 26.4 Å³ per atom. Its formation energy from raw total energies is 0.22 eV/atom. As for the size of the total moment: 0.0 μB/f.u. Its total DFT energy (no corrections) is -15.17 eV for the cell shown.


No. 3
Material: Na2AlSiNi
Method: DFT, GGA-PBE
State: relaxed

Cell: 5.4715 5.4715 4.2512 Å, 90.00 90.00 90.00°
With the nearest neighbours (Å) after each atom.
Space group P4/mmm (No. 123)
Asymmetric unit:
Na: 0.0000 0.5000 0.0000  2 Si 2.74
Al: 0.0000 0.0000 0.5000  8 Na 3.46, 4 Ni 3.87
Si: 0.5000 0.5000 0.0000  2 Ni 2.13
Ni: 0.5000 0.5000 0.5000  2 Si 2.13

## Properties
The crystal system is tetragonal. The value obtained for the volume is 25.5 Å³ per atom. Its formation energy from raw total energies is 0.48 eV/atom. As for the size of the total moment: 0.0 μB/f.u. Its total DFT energy (no corrections) is -15.18 eV for the cell shown. For the energy above the most stable polymorph in this dataset, the calculation gives 0.0 kJ/mol of atoms.


No. 4
Material: Na2AlSiNi
Method: DFT, GGA-PBE
State: relaxed

Cell: 5.4015 5.4015 4.3555 Å, 90.00 90.00 90.00°
With the nearest neighbours (Å) after each atom.
Space group P4/mmm (No. 123)
Asymmetric unit:
Na: 0.0000 0.5000 0.0000  2 Al 2.70
Al: 0.0000 0.0000 0.0000  2 Ni 2.18
Si: 0.5000 0.5000 0.5000  8 Na 3.47, 4 Ni 3.82
Ni: 0.0000 0.0000 0.5000  2 Al 2.18

## Properties
The crystal system is tetragonal. The value obtained for the volume is 25.4 Å³ per atom. Its formation energy from raw total energies is 0.83 eV/atom. As for the size of the total moment: 0.0 μB/f.u. Its total DFT energy (no corrections) is -13.42 eV for the cell shown. For the energy above the most stable polymorph in this dataset, the calculation gives 33.9 kJ/mol of atoms.


No. 5
Material: NaAlZn2Ni
Method: DFT, GGA-PBE
State: relaxed

Cell: 4.8194 4.8194 4.6064 Å, 90.00 90.00 90.00°
With the nearest neighbours (Å) after each atom.
Space group P4/mmm (No. 123)
Asymmetric unit:
Na: 0.0000 0.0000 0.0000  2 Ni 2.30, 4 Zn 2.41
Al: 0.5000 0.5000 0.5000  8 Zn 3.33, 4 Ni 3.41
Zn: 0.0000 0.5000 0.0000  2 Na 2.41
Ni: 0.0000 0.0000 0.5000  2 Na 2.30

## Properties
The crystal system is tetragonal. The value obtained for the formation energy is 1114.8 meV per atom. The value obtained for the volume is 21.4 Å³ per atom. As for the size of the total moment: 0.0 μB/f.u. Its total DFT energy (no corrections) is -7.82 eV for the cell shown.


No. 6
Material: NaZrAl2Ni
Method: DFT, GGA-PBE
State: relaxed

Cell: 4.6086 4.6086 4.8633 Å, 90.00 90.00 90.00°
With the nearest neighbours (Å) after each atom.
Space group P4/mmm (No. 123)
Asymmetric unit:
Na: 0.0000 0.0000 0.0000  4 Zr 3.26, 8 Al 3.35
Zr: 0.5000 0.5000 0.0000  2 Ni 2.43
Al: 0.0000 0.5000 0.5000  2 Ni 2.30
Ni: 0.5000 0.5000 0.5000  4 Al 2.30, 2 Zr 2.43

## Properties
The crystal system is tetragonal. The value obtained for the formation energy is 76.9 meV per atom. The value obtained for the volume is 20.7 Å³ per atom. As for the size of the total moment: 0.0 μB/f.u. Its total DFT energy (no corrections) is -22.75 eV for the cell shown.


No. 7
Material: NaNpAlO6
Method: DFT, GGA-PBE
State: relaxed

Cell: 5.2271 5.2271 10.3550 Å, 90.00 90.00 120.00°
With the nearest neighbours (Å) after each atom.
Space group P-31c (No. 163)
Asymmetric unit:
Na: 0.0000 0.0000 0.0000  6 O 2.46
Np: 0.3333 0.6667 0.2500  6 O 2.01
Al: 0.3333 0.6667 0.7500  6 O 1.92
O: 0.0125 0.3738 0.6489  1 Al 1.92, 1 Np 2.01

## Properties
The crystal system is trigonal. The value obtained for the volume is 13.6 Å³ per atom. Its formation energy from raw total energies is -2.23 eV/atom. As for the size of the total moment: 1.0 μB/f.u. Its total DFT energy (no corrections) is -135.73 eV for the cell shown.


No. 8
Material: NaNpAlO5
Method: DFT, GGA-PBE
State: relaxed

Cell: 7.0972 9.1875 7.8863 Å, 90.00 115.86 90.00°
With the nearest neighbours (Å) after each atom.
Space group C2/c (No. 15)
Asymmetric unit:
Na: 0.0000 0.1656 0.2500  5 O 2.34-2.61
Np: 0.0000 0.5000 0.0000  6 O 2.05-2.10
Al: 0.0000 0.1850 0.7500  4 O 1.78
O: 0.0000 0.4203 0.2500  2 Np 2.10, 1 Na 2.34
O: 0.0967 0.2970 0.6210  1 Al 1.78
O: 0.1936 0.0626 0.9030  1 Al 1.78

## Properties
The crystal system is monoclinic. The value obtained for the volume is 14.5 Å³ per atom. Its formation energy from raw total energies is -2.68 eV/atom. As for the size of the total moment: 1.0 μB/f.u. Its total DFT energy (no corrections) is -256.79 eV for the cell shown.


No. 9
Material: NaNp2AlO8
Method: DFT, GGA-PBE
State: relaxed

Cell: 6.5327 6.7969 6.8589 Å, 90.00 90.00 90.00°
With the nearest neighbours (Å) after each atom.
Space group Cmmm (No. 65)
Asymmetric unit:
Na: 0.0000 0.0000 0.0000  6 O 2.19-2.37
Np: 0.0000 0.5000 0.2544  6 O 1.97-2.19
Al: 0.0000 0.0000 0.5000  6 O 1.96-2.00
O: 0.0000 0.2939 0.5000  1 Al 2.00, 2 Np 2.19
O: 0.0000 0.3222 0.0000  2 Np 2.12, 1 Na 2.19
O: 0.2006 0.0000 0.2883  1 Al 1.96, 1 Np 1.97

## Properties
The crystal system is orthorhombic. The value obtained for the volume is 12.7 Å³ per atom. Its formation energy from raw total energies is -2.62 eV/atom. As for the size of the total moment: 2.0 μB/f.u. Its total DFT energy (no corrections) is -204.04 eV for the cell shown.


No. 10
Material: Na2NpAlO6
Method: DFT, GGA-PBE
State: relaxed

Cell: 5.5099 5.5099 4.1411 Å, 90.00 90.00 90.00°
With the nearest neighbours (Å) after each atom.
Space group P4mm (No. 99)
Asymmetric unit:
Na: 0.0000 0.5000 0.0000  12 O 2.76-2.90
Np: 0.0000 0.0000 0.5153  6 O 1.99-2.07
Al: 0.5000 0.5000 0.4880  5 O 1.91
O: 0.0000 0.0000 0.0162  2 Np 2.07
O: 0.2548 0.2548 0.5192  1 Al 1.91, 1 Np 1.99
O: 0.5000 0.5000 0.0259  1 Al 1.91

## Properties
The crystal system is tetragonal. The value obtained for the volume is 12.6 Å³ per atom. Its formation energy from raw total energies is -2.32 eV/atom. As for the size of the total moment: 0.5 μB/f.u. Its total DFT energy (no corrections) is -72.26 eV for the cell shown.


No. 11
Material: Na3Np2AlS6
Method: DFT, GGA-PBE
State: relaxed

Cell: 6.7699 11.7382 7.0047 Å, 90.00 108.91 90.00°
With the nearest neighbours (Å) after each atom.
Space group C2/m (No. 12)
Asymmetric unit:
Na: 0.0000 0.0000 0.0000  6 S 2.86-3.11
Na: 0.0000 0.3338 0.0000  6 S 2.87-3.07
Np: 0.0000 0.1671 0.5000  6 S 2.75-2.76
Al: 0.0000 0.5000 0.5000  6 S 2.50-2.54
S: 0.2269 0.3463 0.7188  1 Al 2.54, 2 Np 2.76
S: 0.2333 0.5000 0.2870  1 Al 2.50, 2 Np 2.75

## Properties
The crystal system is monoclinic. The value obtained for the volume is 21.9 Å³ per atom. Its formation energy from raw total energies is -1.22 eV/atom. As for the size of the total moment: 8.0 μB/f.u. Its total DFT energy (no corrections) is -145.96 eV for the cell shown.


No. 12
Material: Na2Np2AlS6
Method: DFT, GGA-PBE
State: relaxed

Cell: 6.7295 11.5478 7.0815 Å, 90.00 107.91 90.00°
With the nearest neighbours (Å) after each atom.
Space group C2/m (No. 12)
Asymmetric unit:
Na: 0.0000 0.1676 0.0000  6 S 2.89-3.05
Np: 0.0000 0.3342 0.5000  6 S 2.71-2.75
Al: 0.0000 0.0000 0.5000  6 S 2.42-2.55
S: 0.2265 0.0000 0.2931  1 Al 2.42
S: 0.2261 0.1579 0.7132  1 Al 2.55, 2 Np 2.71-2.72

## Properties
The crystal system is monoclinic. The value obtained for the volume is 23.8 Å³ per atom. Its formation energy from raw total energies is -1.22 eV/atom. As for the size of the total moment: 7.0 μB/f.u. Its total DFT energy (no corrections) is -140.80 eV for the cell shown.